No. 1
Compound: Tb4Tm3Sc3
Source: Alexandria via LeMat-Bulk
Functional: PBE
Structure: relaxed Values from VASP.

formation enthalpy at 0 K = 0.95 eV per formula unit

```
&SYSTEM
  ibrav = 0, nat = 10, ntyp = 3
/
ATOMIC_SPECIES
Tb 158.93 Tb.upf
Tm 168.93 Tm.upf
Sc 44.96 Sc.upf
CELL_PARAMETERS angstrom
3.6249 0.0000 0.0000
0.0000 8.9761 -0.0723
0.0000 0.0067 8.9764
ATOMIC_POSITIONS crystal
Tb 0.0000 0.6322 0.3678
Tb 0.0000 0.3745 0.6255
Tb 0.0000 0.8635 0.8723
Tb 0.0000 0.1277 0.1365
Tm 0.0000 0.5005 0.0007
Tm 0.0000 0.9993 0.4995
Tm 0.5000 0.1686 0.8314
Sc 0.5000 0.8313 0.1687
Sc 0.5000 0.3332 0.3308
Sc 0.5000 0.6692 0.6668
```

---

No. 2
Compound: Tb5CdGa4
Source: Alexandria via LeMat-Bulk
Functional: PBE
Structure: relaxed Values from VASP.

formation enthalpy at 0 K = -5.35 eV per formula unit

```
&SYSTEM
  ibrav = 0, nat = 10, ntyp = 3
/
ATOMIC_SPECIES
Tb 158.93 Tb.upf
Cd 112.41 Cd.upf
Ga 69.72 Ga.upf
CELL_PARAMETERS angstrom
-0.8303 1.9191 -2.9335
1.7903 -2.3597 -2.0504
-15.3034 -9.8020 -2.0811
ATOMIC_POSITIONS crystal
Tb 0.5000 0.5000 0.1111
Tb 0.5000 0.5000 0.3055
Tb 0.5000 0.5000 0.5000
Tb 0.5000 0.5000 0.6945
Tb 0.5000 0.5000 0.8889
Cd 0.0000 0.0000 0.0000
Ga 0.0000 0.0000 0.2061
Ga 0.0000 0.0000 0.4031
Ga 0.0000 0.0000 0.5969
Ga 0.0000 0.0000 0.7939
```

---

No. 3
Compound: WSeCl2
Source: Alexandria via LeMat-Bulk
Functional: PBE
Structure: relaxed Values from VASP.

offset from the most stable computed form = 624 meV per atom
uncorrected formation energy = 0.18 eV per atom

```
&SYSTEM
  ibrav = 0, nat = 4, ntyp = 3
/
ATOMIC_SPECIES
Se 78.96 Se.upf
W 183.84 W.upf
Cl 35.45 Cl.upf
CELL_PARAMETERS angstrom
-2.1941 -2.0617 -1.0449
2.6789 0.8349 -1.5109
5.7059 -8.7493 5.2818
ATOMIC_POSITIONS crystal
Se 0.5000 0.5000 0.2500
W 0.5000 0.5000 0.7500
Cl 0.0000 0.0000 0.9170
Cl 0.0000 0.0000 0.5830
```

---

N(E_F) for the records above, in order: 0.67, 0.47, 0.67 states/eV/atom